# 1
A geometry-optimized LiAg2Br structure, computed with PBE.

a b c (Å): 3.526 3.583 6.977
angles (deg): 75.04 90.00 90.00
Positions (direct):
Ag: 0.000 0.059 0.008
Ag: 0.500 0.470 0.185
Br: 0.000 0.271 0.585
Li: 0.500 0.700 0.723

Summary:
**Formation energy from raw total energies**: -1.7 eV per formula unit
**Density of states at the Fermi level**: 0.10 states/eV per atom
**Magnetization**: 0.000 μB/atom
**Symmetry**: Pm
**Offset from the most stable computed form**: 0.000 eV per formula unit

# 2
A geometry-optimized Li2AgBr4 structure, computed with PBE.

a b c (Å): 4.101 6.670 7.332
angles (deg): 115.66 106.24 90.00
Positions (direct):
Ag: 0.000 0.000 0.000
Br: 0.641 0.299 0.281
Br: 0.359 0.701 0.719
Br: 0.122 0.802 0.245
Br: 0.878 0.198 0.755
Li: 0.269 0.241 0.538
Li: 0.731 0.759 0.462

Summary:
**Formation energy from raw total energies**: -6.3 eV per formula unit
**Density of states at the Fermi level**: 0.79 states/eV per atom
**Magnetization**: 0.000 μB/atom
**Symmetry**: C2/m
**Offset from the most stable computed form**: 0.158 eV per formula unit

# 3
A geometry-optimized Li2AgBr structure, computed with PBE.

a b c (Å): 3.753 3.753 7.067
angles (deg): 74.70 74.70 59.86
Positions (direct):
Li: 0.506 0.506 0.484
Li: 0.994 0.994 0.016
Br: 0.250 0.250 0.250
Ag: 0.750 0.750 0.750

Summary:
**Formation energy from raw total energies**: -2.6 eV per formula unit
**Density of states at the Fermi level**: 0.14 states/eV per atom
**Magnetization**: 0.000 μB/atom
**Symmetry**: C2/m
**Offset from the most stable computed form**: 0.000 eV per formula unit

# 4
A geometry-optimized Li3AgBr4 structure, computed with PBE.

a b c (Å): 6.883 7.419 8.454
angles (deg): 90.00 90.00 90.00
Positions (direct):
Li: 0.504 0.333 0.751
Li: 0.004 0.667 0.251
Li: 0.004 0.667 0.749
Li: 0.502 0.831 0.000
Li: 0.504 0.333 0.249
Li: 0.002 0.169 0.500
Br: 0.632 0.657 0.762
Br: 0.132 0.343 0.738
Br: 0.632 0.657 0.238
Br: 0.632 0.184 0.500
Br: 0.132 0.343 0.262
Br: 0.105 0.839 0.500
Br: 0.132 0.816 0.000
Br: 0.605 0.161 0.000
Ag: 0.505 0.835 0.500
Ag: 0.005 0.165 0.000

Summary:
**Formation energy from raw total energies**: -10.0 eV per formula unit
**Density of states at the Fermi level**: 0.00 states/eV per atom
**Magnetization**: 0.000 μB/atom
**Symmetry**: Pmn2_1
**Offset from the most stable computed form**: 0.000 eV per formula unit

# 5
A geometry-optimized LiAgBr4 structure, computed with PBE.

a b c (Å): 6.440 6.440 6.440
angles (deg): 60.00 60.00 60.00
Each line ends with the local moment (μB).
Positions (direct):
Br: 0.375 0.375 0.375  0.35
Br: 0.876 0.375 0.375  0.35
Br: 0.375 0.876 0.375  0.35
Br: 0.375 0.375 0.876  0.35
Ag: 0.000 0.000 0.000  -0.01
Li: 0.750 0.750 0.750  0.00

Summary:
**Formation energy from raw total energies**: 1.3 eV per formula unit
**Density of states at the Fermi level**: 0.72 states/eV per atom
**Magnetization**: 0.285 μB/atom
**Symmetry**: F-43m

# 6
A geometry-optimized LiAg2Br structure, computed with PBE.

a b c (Å): 3.714 3.710 5.900
angles (deg): 90.00 90.00 90.00
Positions (direct):
Ag: 0.000 0.000 0.525
Ag: 0.000 0.000 0.975
Br: 0.500 0.500 0.250
Li: 0.500 0.500 0.750

Summary:
**Formation energy from raw total energies**: -0.9 eV per formula unit
**Density of states at the Fermi level**: 0.13 states/eV per atom
**Magnetization**: 0.000 μB/atom
**Symmetry**: P4/mmm
**Offset from the most stable computed form**: 0.806 eV per formula unit

# 7
A geometry-optimized LiAg2Br2 structure, computed with PBE.

a b c (Å): 5.353 5.353 6.044
angles (deg): 63.72 63.72 90.00
Positions (direct):
Li: 0.000 0.000 0.000
Br: 0.250 0.750 0.500
Br: 0.750 0.250 0.500
Ag: 0.357 0.357 0.286
Ag: 0.643 0.643 0.714

Summary:
**Formation energy from raw total energies**: -1.1 eV per formula unit
**Density of states at the Fermi level**: 0.61 states/eV per atom
**Magnetization**: 0.000 μB/atom
**Symmetry**: I4/mmm
**Offset from the most stable computed form**: 0.131 eV per formula unit

# 8
A geometry-optimized LiAg4Br structure, computed with PBE.

a b c (Å): 5.642 5.642 5.642
angles (deg): 60.00 60.00 60.00
Positions (direct):
Ag: 0.375 0.375 0.876
Ag: 0.375 0.876 0.375
Ag: 0.375 0.375 0.375
Ag: 0.876 0.375 0.375
Li: 0.000 0.000 0.000
Br: 0.750 0.750 0.750

Summary:
**Formation energy from raw total energies**: -0.3 eV per formula unit
**Density of states at the Fermi level**: 0.14 states/eV per atom
**Magnetization**: 0.000 μB/atom
**Symmetry**: F-43m

The highest density of states at the Fermi level belongs to which entry?
Li2AgBr4

The highest magnetization belongs to which entry?
LiAgBr4